(1)
Entry from the Alexandria database: crystalline ZrCoSi2 at its relaxed geometry (GGA-PBE).

Cell lengths 8.3469, 8.3469, 8.3469 Å; angles 20.06, 20.06, 20.06 degrees
Each line ends with the local moment (μB).
Fractional positions:
Co: 0.7500 0.7500 0.7500  0.35
Si: 0.0139 0.0139 0.0139  0.00
Si: 0.4861 0.4861 0.4861  0.00
Zr: 0.2500 0.2500 0.2500  0.01

Output
Magnetic moment   0.342 Bohr magnetons per cell
Fermi-level density of states   0.739 states/eV/atom
Crystal system   trigonal
Energy relative to the elements, uncorrected   -75 kJ/mol of formula units
Space-group type   R-3m, No. 166
DFT total energy   -6.818 eV per atom



(2)
Entry from the Alexandria database: crystalline ZrCoSi2 at its relaxed geometry (GGA-PBE).

Cell lengths 4.1218, 3.0825, 4.8090 Å; angles 90.02, 90.00, 90.00 degrees
Each line ends with the local moment (μB).
Fractional positions:
Co: 0.5000 0.0004 0.7566  0.48
Si: 0.0000 0.0001 0.9865  0.00
Si: 0.5000 0.9995 0.2552  0.00
Zr: 0.0000 0.5000 0.5017  -0.03

Output
Magnetic moment   0.417 Bohr magnetons per cell
Fermi-level density of states   0.711 states/eV/atom
Crystal system   orthorhombic
Energy relative to the elements, uncorrected   -128 kJ/mol of formula units
Space-group type   Pmm2, No. 25
DFT total energy   -6.958 eV per atom



Which of these has the highest magnetic moment? number 2



Among the records above, which one has the highest DFT total energy? number 1



DFT total energy of number 2 (ZrCoSi2)? -6.958 eV per atom